No. 1
## In10GaHg4 (PBE)

Data for a relaxed structure of In10GaHg4.

```
15
Lattice="5.0218 -0.3531 -0.2258 -0.4519 5.0136 -0.2274 1.9450 1.9807 16.7586" Properties=species:S:1:pos:R:3 pbc="T T T"
Hg 3.4490 3.5156 13.2546
Hg 4.8429 4.9374 9.6970
In 2.6608 0.4295 1.4626
In 3.9838 0.8385 4.8302
In 4.3783 2.2215 8.1533
Hg 3.0660 3.1256 3.0509
In 0.3781 2.6684 1.4614
In 2.1367 4.4197 8.1522
Hg 1.6721 1.7038 6.6084
In 0.7610 3.9978 4.8298
In 5.7539 2.6435 11.4757
In 6.1369 3.9729 14.8441
In 2.5312 5.8027 11.4752
Ga 0.0000 0.0000 0.0000
In 3.8542 6.2117 14.8429
```

Values from the calculation:
**Uncorrected energy**: -0.0752 hartree per atom
**E_form**: 6.0 kJ per mole of atoms

No. 2
## MnFe2CoPt (PBE)

Data for a relaxed structure of MnFe2CoPt.

```
5
Lattice="-1.0925 -3.8112 -1.2221 3.6192 -0.4072 -1.9657 1.6899 -1.5876 3.4403" Properties=species:S:1:pos:R:3 pbc="T T T"
Fe -0.5463 -1.9056 -0.6110
Pt 2.1083 -2.9030 0.1263
Co 1.8096 -0.2036 -0.9829
Mn 0.0000 0.0000 0.0000
Fe 0.8450 -0.7938 1.7202
```

Values from the calculation:
**Uncorrected energy**: -0.2508 hartree per atom
**E_form**: 98.8 kJ per mole of atoms

No. 3
## LiFeCo (PBE)

Data for a relaxed structure of LiFeCo.

```
6
Lattice="-1.7270 -1.6325 -1.3090 0.4376 -4.3159 4.8050 -2.9470 0.8414 2.8385" Properties=species:S:1:pos:R:3 pbc="T T T"
Co -1.9678 -2.2481 1.9068
Co -1.1708 -0.9913 -0.7118
Fe -1.7197 0.0915 1.4727
Fe -0.4731 -2.9947 3.6764
Li -2.6036 -0.9483 3.9357
Li -2.8174 -3.3708 4.4270
```

Values from the calculation:
**Uncorrected energy**: -0.2088 hartree per atom
**Distance to the lowest polymorph of the same formula**: 21 meV/atom
**E_form**: 14.1 kJ per mole of atoms

No. 4
## ReTeCl2 (PBE)

Data for a relaxed structure of ReTeCl2.

```
4
Lattice="-0.3515 2.6236 -1.8462 -1.7721 -0.6799 2.6102 7.7155 5.7791 6.7434" Properties=species:S:1:pos:R:3 pbc="T T T"
Cl 0.6961 0.5214 0.6084
Cl 3.1616 2.3681 2.7633
Re 0.8671 2.4166 2.0678
Te 4.7249 5.3062 5.4395
```

Values from the calculation:
**Uncorrected energy**: -0.1678 hartree per atom
**Distance to the lowest polymorph of the same formula**: 334 meV/atom

No. 5
## AcPmEr5 (PBE)

Data for a relaxed structure of AcPmEr5.

```
14
Lattice="-5.3140 3.9614 -0.0111 -3.2314 -5.3312 2.2513 6.9077 3.7064 8.8648" Properties=species:S:1:pos:R:3 pbc="T T T"
Er -0.3564 2.5519 4.6449
Er 0.8562 -0.6715 3.8179
Er -5.2234 -2.0770 3.6415
Er 0.2344 5.1009 7.0368
Er -5.3416 0.6370 1.3690
Ac 0.0000 0.0000 0.0000
Er -2.4939 3.0081 7.2871
Er 3.7039 1.6996 9.7360
Pm 0.9431 1.9385 7.8068
Er -1.8721 -2.7643 4.0681
Ac 3.4539 1.8532 4.4324
Er -1.2813 -0.2153 6.4601
Er 3.5857 4.4136 7.4634
Pm -2.5808 0.3982 3.2982
```

Values from the calculation:
**Uncorrected energy**: -0.1627 hartree per atom
**E_form**: 9.3 kJ per mole of atoms

No. 6
## Pr2GeS (PBE)

Data for a relaxed structure of Pr2GeS.

```
4
Lattice="-1.2316 3.3379 2.2844 -3.9640 -1.4707 0.0119 1.1362 -3.0222 5.0288" Properties=species:S:1:pos:R:3 pbc="T T T"
Ge -1.3614 0.6346 4.2272
Pr -2.7279 -1.7694 3.0908
S -2.1591 -3.2809 5.6054
Pr -0.7931 -0.8767 6.7421
```

Values from the calculation:
**Uncorrected energy**: -0.2223 hartree per atom
**Distance to the lowest polymorph of the same formula**: 0 meV/atom

Please write out number 2 again, unchanged.
## MnFe2CoPt (PBE)

Data for a relaxed structure of MnFe2CoPt.

```
5
Lattice="-1.0925 -3.8112 -1.2221 3.6192 -0.4072 -1.9657 1.6899 -1.5876 3.4403" Properties=species:S:1:pos:R:3 pbc="T T T"
Fe -0.5463 -1.9056 -0.6110
Pt 2.1083 -2.9030 0.1263
Co 1.8096 -0.2036 -0.9829
Mn 0.0000 0.0000 0.0000
Fe 0.8450 -0.7938 1.7202
```

Values from the calculation:
**Uncorrected energy**: -0.2508 hartree per atom
**E_form**: 98.8 kJ per mole of atoms

- Which of these has the lowest uncorrected energy?
  MnFe2CoPt